Entry from Alexandria: BiWBr3 after structural relaxation (PBE).

crystal system = cubic
E_tot = -18.84 eV per cell
polymorph energy (0 for the lowest one) = 0.0 meV/atom

Geometry as POSCAR:
```
BiWBr3
1.0
5.2074 0.0000 0.0000
0.0000 5.2074 0.0000
0.0000 0.0000 5.2074
Bi W Br
1 1 3
direct
0.0000 0.0000 0.0000
0.5000 0.5000 0.5000
0.0000 0.5000 0.5000
0.5000 0.0000 0.5000
0.5000 0.5000 0.0000
```

Entry from Alexandria: Bi3WBr after structural relaxation (PBE).

crystal system = cubic
E_tot = -17.45 eV per cell
polymorph energy (0 for the lowest one) = 1296.5 meV/atom

Geometry as POSCAR:
```
Bi3WBr
1.0
5.5461 0.0000 0.0000
0.0000 5.5461 0.0000
0.0000 0.0000 5.5461
Bi W Br
3 1 1
direct
0.0000 0.0000 0.5000
0.0000 0.5000 0.0000
0.5000 0.0000 0.0000
0.5000 0.5000 0.5000
0.0000 0.0000 0.0000
```